# CsMn3As3 PBE-GGA optimized geometry
# Formation enthalpy at 0 K ... -1.0 eV per formula unit
# Crystal system ... trigonal
# Spin magnetization ... 8.28 μB per formula unit
# Space-group type ... R-3, No. 148
data_CsMn3As3
_chemical_formula_sum 'Cs2 Mn6 As6'
_cell_length_a 9.770
_cell_length_b 9.770
_cell_length_c 9.770
_cell_angle_alpha 41.14
_cell_angle_beta 41.14
_cell_angle_gamma 41.14
_space_group_name_H-M_alt 'P 1'
_space_group_IT_number 1
_space_group_name_Hall 'P 1'
loop_
_atom_site_label
_atom_site_type_symbol
_atom_site_fract_x
_atom_site_fract_y
_atom_site_fract_z
_atom_site_occupancy
Cs1 Cs 0.166 0.166 0.166 1
Cs2 Cs 0.834 0.834 0.834 1
Mn1 Mn 0.028 0.717 0.347 1
Mn2 Mn 0.283 0.653 0.972 1
Mn3 Mn 0.347 0.028 0.717 1
Mn4 Mn 0.653 0.972 0.283 1
Mn5 Mn 0.717 0.347 0.028 1
Mn6 Mn 0.972 0.283 0.653 1
As1 As 0.065 0.409 0.707 1
As2 As 0.293 0.935 0.591 1
As3 As 0.409 0.707 0.065 1
As4 As 0.591 0.293 0.935 1
As5 As 0.707 0.065 0.409 1
As6 As 0.935 0.591 0.293 1